Ba3NaO4 after structural relaxation, computed with GGA-PBE.

a = 3.892 Å, b = 3.892 Å, c = 10.836 Å
α = 90.00°, β = 90.00°, γ = 90.00°
Positions (direct):
Ba: 0.000 0.000 0.000
Ba: 0.500 0.500 0.272
Ba: 0.500 0.500 0.728
Na: 0.000 0.000 0.500
O: 0.000 0.000 0.253
O: 0.000 0.000 0.747
O: 0.500 0.500 0.000
O: 0.500 0.500 0.500

Properties
Total moment, μB per atom: 0.134
DOS(E_F), states/eV per atom: 1.162
Formation energy (no corrections), eV/atom: -2.05
ρ, g cm⁻³: 5.0